# 1
5
Lattice="4.930 0.000 0.000 0.000 4.930 0.000 0.000 0.000 4.930" Properties=species:S:1:pos:R:3 comment="YNb3Os PBE optimized geometry" spacegroup=Pm-3m total_energy_ev_per_atom=-8.898 m_tot_mub_per_cell=0.00 de_polymorph_mev_per_atom=0 dos_ef_per_ev_fu=4.79 delta_e_f_ev_per_atom=0.68 pbc="T T T"
Y 0.000 0.000 0.000
Nb 0.000 2.465 2.465
Nb 2.465 0.000 2.465
Nb 2.465 2.465 0.000
Os 2.465 2.465 2.465

---

# 2
6
Lattice="0.000 4.541 4.541 4.541 0.000 4.541 4.541 4.541 0.000" Properties=species:S:1:pos:R:3 comment="La4TlMo PBE optimized geometry" spacegroup=F-43m total_energy_ev_per_atom=-4.775 m_tot_mub_per_cell=2.29 dos_ef_per_ev_fu=10.58 delta_e_f_ev_per_atom=0.71 pbc="T T T"
La 1.125 1.125 1.125
La 3.416 3.416 1.125
La 3.416 1.125 3.416
La 1.125 3.416 3.416
Tl 4.541 4.541 4.541
Mo 6.811 6.811 6.811

---

# 3
8
Lattice="0.000 5.279 6.614 3.869 0.000 6.614 3.869 5.279 0.000" Properties=species:S:1:pos:R:3 comment="LaSn PBE optimized geometry" spacegroup=Fddd total_energy_ev_per_atom=-5.130 m_tot_mub_per_cell=0.00 dos_ef_per_ev_fu=1.72 delta_e_f_ev_per_atom=-0.66 pbc="T T T"
La 2.902 0.972 4.961
La 4.836 3.612 8.268
La 2.902 6.946 4.961
La 4.836 9.585 8.268
Sn 4.388 3.959 4.961
Sn 6.322 6.599 8.268
Sn 1.416 3.959 4.961
Sn 3.350 6.599 8.268

---

# 4
16
Lattice="9.210 0.000 0.000 -4.605 7.976 0.000 0.000 0.000 6.291" Properties=species:S:1:pos:R:3 comment="Nd3Tl3Cd2 PBE optimized geometry" spacegroup=P6_3/mcm total_energy_ev_per_atom=-3.105 m_tot_mub_per_cell=0.00 de_polymorph_mev_per_atom=110 dos_ef_per_ev_fu=7.21 delta_e_f_ev_per_atom=-0.20 pbc="T T T"
Nd -1.182 2.048 1.573
Nd -3.423 5.928 4.718
Nd 2.365 0.000 1.573
Nd 1.182 2.048 4.718
Nd 6.845 0.000 4.718
Nd 3.423 5.928 1.573
Tl -1.804 3.124 4.718
Tl -2.801 4.852 1.573
Tl 3.608 0.000 4.718
Tl 1.804 3.124 1.573
Tl 5.603 0.000 1.573
Tl 2.801 4.852 4.718
Cd 0.000 5.318 0.000
Cd 0.000 5.318 3.145
Cd 4.605 2.659 0.000
Cd 4.605 2.659 3.145

---

# 5
3
Lattice="2.150 -2.307 0.000 2.150 2.307 0.000 -1.927 0.000 3.954" Properties=species:S:1:pos:R:3 comment="P2C PBE optimized geometry" spacegroup=C2 total_energy_ev_per_atom=-5.938 m_tot_mub_per_cell=0.00 de_polymorph_mev_per_atom=312 dos_ef_per_ev_fu=0.35 delta_e_f_ev_per_atom=0.74 pbc="T T T"
P 0.449 0.000 1.033
P 1.924 0.000 2.921
C 1.187 -1.506 1.977

---

# 6
5
Lattice="4.948 0.000 0.000 0.000 4.948 0.000 0.000 0.000 4.975" Properties=species:S:1:pos:R:3 comment="TcGeBr2O PBE optimized geometry" e_form_raw_kcal_per_mol_atoms=17.7 spacegroup=P4/mmm total_energy_ev_per_atom=-3.890 m_tot_mub_per_cell=1.76 dos_ef_per_ev_fu=7.63 pbc="T T T"
Tc 0.000 0.000 0.000
Ge 0.000 0.000 2.487
Br 0.000 2.474 0.000
Br 2.474 0.000 0.000
O 2.474 2.474 2.487

---

# 7
7
Lattice="-2.407 2.407 7.504 2.407 -2.407 7.504 2.407 2.407 -7.504" Properties=species:S:1:pos:R:3 comment="Hf4TiTe2 PBE optimized geometry" e_form_raw_kcal_per_mol_atoms=11.8 spacegroup=I4/mmm total_energy_ev_per_atom=-7.201 m_tot_mub_per_cell=0.00 dos_ef_per_ev_fu=7.46 pbc="T T T"
Hf 2.407 0.000 0.000
Hf 0.000 0.000 2.601
Hf 0.000 2.407 0.000
Hf 0.000 0.000 12.406
Ti 0.000 0.000 0.000
Te 0.000 0.000 5.431
Te 0.000 0.000 9.576

---

# 8
7
Lattice="-1.950 1.950 6.238 1.950 -1.950 6.238 1.950 1.950 -6.238" Properties=species:S:1:pos:R:3 comment="Gd2ZrH4 PBE optimized geometry" spacegroup=I4/mmm total_energy_ev_per_atom=-7.493 m_tot_mub_per_cell=15.85 dos_ef_per_ev_fu=4.09 pbc="T T T"
Gd 0.000 0.000 1.932
Gd 0.000 0.000 10.545
Zr 0.000 0.000 6.238
H 1.950 0.000 0.000
H 0.000 0.000 4.181
H 0.000 1.950 0.000
H 0.000 0.000 8.296

---

# 9
5
Lattice="5.206 0.000 0.000 0.000 5.206 0.000 0.000 0.000 5.717" Properties=species:S:1:pos:R:3 comment="BaSrTaSe2 PBE optimized geometry" e_form_raw_kcal_per_mol_atoms=-5.4 spacegroup=P4/mmm total_energy_ev_per_atom=-4.719 m_tot_mub_per_cell=0.00 dos_ef_per_ev_fu=4.62 pbc="T T T"
Ba 0.000 0.000 0.000
Sr 2.603 2.603 0.000
Ta 2.603 2.603 2.858
Se 0.000 2.603 2.858
Se 2.603 0.000 2.858

---

# 10
8
Lattice="3.557 0.000 0.000 0.000 3.557 0.000 0.000 0.000 14.616" Properties=species:S:1:pos:R:3 comment="Mg4Tl3Ag PBE optimized geometry" spacegroup=P4/mmm total_energy_ev_per_atom=-2.117 m_tot_mub_per_cell=0.00 dos_ef_per_ev_fu=2.35 delta_e_f_ev_per_atom=-0.08 pbc="T T T"
Mg 0.000 0.000 1.521
Mg 0.000 0.000 5.336
Mg 0.000 0.000 9.280
Mg 0.000 0.000 13.095
Tl 1.779 1.779 3.464
Tl 1.779 1.779 7.308
Tl 1.779 1.779 11.152
Ag 1.779 1.779 0.000

---

# 11
80
Lattice="-8.529 8.529 8.529 8.529 -8.529 8.529 8.529 8.529 -8.529" Properties=species:S:1:pos:R:3 comment="Sn3Sb5Se12 PBE optimized geometry" e_form_raw_kcal_per_mol_atoms=-3.4 spacegroup=Ia-3d total_energy_ev_per_atom=-3.869 m_tot_mub_per_cell=0.00 dos_ef_per_ev_fu=5.72 pbc="T T T"
Sn 4.264 2.132 0.000
Sn 8.529 4.264 -2.132
Sn 2.132 0.000 4.264
Sn 10.661 0.000 4.264
Sn 0.000 4.264 2.132
Sn 4.264 -2.132 8.529
Sn 4.264 10.661 0.000
Sn 8.529 4.264 6.396
Sn -2.132 8.529 4.264
Sn 6.396 8.529 4.264
Sn 0.000 4.264 10.661
Sn 4.264 6.396 8.529
Sb 0.000 0.000 0.000
Sb 4.264 4.264 -4.264
Sb 4.264 -4.264 4.264
Sb 8.529 0.000 0.000
Sb 12.793 2.132 0.000
Sb 8.529 -4.264 6.396
Sb 6.396 8.529 -4.264
Sb 6.396 0.000 4.264
Sb 4.264 6.396 0.000
Sb 8.529 4.264 2.132
Sb -4.264 4.264 4.264
Sb 0.000 8.529 0.000
Sb 0.000 0.000 8.529
Sb 4.264 4.264 4.264
Sb 0.000 4.264 6.396
Sb 4.264 2.132 8.529
Sb 2.132 8.529 4.264
Sb 2.132 0.000 12.793
Sb 0.000 12.793 2.132
Sb -4.264 6.396 8.529
Se 2.581 -0.389 1.111
Se 10.212 5.375 -4.653
Se 8.140 -1.111 2.581
Se 13.182 -1.683 3.154
Se 11.110 0.389 1.111
Se 10.212 -3.154 4.653
Se 1.111 2.581 -0.389
Se 11.682 3.875 -1.683
Se 5.375 4.653 -1.683
Se 7.418 2.581 0.389
Se -0.389 1.111 2.581
Se 4.653 -1.683 5.375
Se 8.140 7.418 -2.581
Se 4.653 1.683 3.154
Se 7.418 -2.581 8.140
Se 5.375 -4.653 10.212
Se 3.154 4.653 1.683
Se 9.639 5.947 0.389
Se 2.581 8.140 -1.111
Se 10.212 3.154 3.875
Se 4.653 10.212 -3.154
Se 8.140 1.111 5.947
Se 1.683 3.154 4.653
Se 2.581 0.389 7.418
Se 5.947 8.140 1.111
Se 6.845 5.375 3.875
Se 0.389 7.418 2.581
Se 3.875 -1.683 11.682
Se -1.683 5.375 4.653
Se 5.947 0.389 9.639
Se -1.111 2.581 8.140
Se 5.375 3.875 6.845
Se 3.154 13.182 -1.683
Se 1.111 11.110 0.389
Se 3.875 6.845 5.375
Se 0.389 1.111 11.110
Se 3.875 10.212 3.154
Se 8.917 7.418 5.947
Se 1.111 5.947 8.140
Se 3.154 3.875 10.212
Se -3.154 4.653 10.212
Se 7.418 5.947 8.917
Se -1.683 11.682 3.875
Se -2.581 8.140 7.418
Se -4.653 10.212 5.375
Se 0.389 9.639 5.947
Se -1.683 3.154 13.182
Se 5.947 8.917 7.418

---

# 12
5
Lattice="4.462 0.000 0.000 0.000 4.462 0.000 0.000 0.000 4.843" Properties=species:S:1:pos:R:3 comment="Li2NbCrSb PBE optimized geometry" e_form_raw_kcal_per_mol_atoms=25.6 spacegroup=P4/mmm total_energy_ev_per_atom=-4.420 m_tot_mub_per_cell=0.00 dos_ef_per_ev_fu=4.90 pbc="T T T"
Li 0.000 2.231 0.000
Li 2.231 0.000 0.000
Nb 0.000 0.000 2.422
Cr 2.231 2.231 2.422
Sb 2.231 2.231 0.000

---

# 13
12
Lattice="5.965 0.000 0.000 0.000 8.220 0.000 -2.007 0.000 8.954" Properties=species:S:1:pos:R:3 comment="K6Hg5Au PBE optimized geometry" spacegroup=P2/m total_energy_ev_per_atom=-1.180 m_tot_mub_per_cell=0.00 dos_ef_per_ev_fu=6.54 delta_e_f_ev_per_atom=-0.23 pbc="T T T"
K 0.000 1.939 0.000
K 0.000 6.281 0.000
K 0.936 2.011 6.141
K 0.936 6.209 6.141
K 3.022 2.011 2.813
K 3.022 6.209 2.813
Hg -0.035 4.110 3.222
Hg -0.005 0.000 3.282
Hg 2.983 4.110 0.000
Hg 3.963 0.000 5.671
Hg 3.994 4.110 5.732
Au 2.983 0.000 0.000

---

# 14
4
Lattice="1.544 0.891 8.610 -1.544 0.891 8.610 0.000 -1.782 8.610" Properties=species:S:1:pos:R:3 comment="ZrAgRh2 PBE optimized geometry" spacegroup=R-3m total_energy_ev_per_atom=-6.677 m_tot_mub_per_cell=0.00 dos_ef_per_ev_fu=2.91 delta_e_f_ev_per_atom=-0.15 pbc="T T T"
Zr 0.000 0.000 0.000
Ag 0.000 0.000 12.915
Rh 0.000 0.000 6.608
Rh 0.000 0.000 19.222

---

# 15
8
Lattice="-3.061 3.061 7.482 3.061 -3.061 7.482 3.061 3.061 -7.482" Properties=species:S:1:pos:R:3 comment="Pr6DyTh PBE optimized geometry" spacegroup=I4/mmm total_energy_ev_per_atom=-4.961 m_tot_mub_per_cell=0.00 de_polymorph_mev_per_atom=84 dos_ef_per_ev_fu=17.16 delta_e_f_ev_per_atom=0.13 pbc="T T T"
Pr 3.061 0.000 1.785
Pr 0.000 0.000 3.649
Pr 3.061 0.000 5.698
Pr 0.000 3.061 1.785
Pr 0.000 0.000 11.315
Pr 0.000 3.061 5.698
Dy 0.000 0.000 7.482
Th 0.000 0.000 0.000

---

# 16
4
Lattice="0.000 3.059 3.059 3.059 0.000 3.059 3.059 3.059 0.000" Properties=species:S:1:pos:R:3 comment="UMn2Si PBE optimized geometry" e_form_raw_kcal_per_mol_atoms=-2.5 spacegroup=Fm-3m total_energy_ev_per_atom=-8.870 m_tot_mub_per_cell=0.48 dos_ef_per_ev_fu=6.84 pbc="T T T"
U 0.000 0.000 0.000
Mn 1.529 1.529 1.529
Mn 4.588 4.588 4.588
Si 3.059 3.059 3.059

---

# 17
17
Lattice="4.864 0.000 0.000 2.369 4.542 0.000 2.315 -0.648 10.607" Properties=species:S:1:pos:R:3 comment="CuC2S2O6F6 PBE optimized geometry" e_form_raw_kcal_per_mol_atoms=-29.6 spacegroup=P-1 total_energy_ev_per_atom=-5.508 m_tot_mub_per_cell=1.02 dos_ef_per_ev_fu=0.06 pbc="T T T"
Cu 0.000 0.000 0.000
C 4.819 3.406 3.492
C 4.729 0.487 7.115
S 4.770 0.661 8.984
S 4.778 3.232 1.623
O 3.349 0.497 9.357
O 3.943 4.379 1.202
O 5.310 1.977 9.238
O 4.238 1.917 1.369
O 5.604 -0.486 9.404
O 6.199 3.397 1.250
F 3.561 3.335 3.971
F 3.994 1.490 6.595
F 2.994 0.047 3.839
F 6.554 3.846 6.768
F 5.553 2.403 4.012
F 5.987 0.559 6.636

---

# 18
5
Lattice="-2.231 2.231 5.700 2.231 -2.231 5.700 2.231 2.231 -5.700" Properties=species:S:1:pos:R:3 comment="Sb2Rh2Br PBE optimized geometry" e_form_raw_kcal_per_mol_atoms=-0.3 spacegroup=I4/mmm total_energy_ev_per_atom=-4.938 m_tot_mub_per_cell=0.00 de_polymorph_mev_per_atom=123 dos_ef_per_ev_fu=3.19 pbc="T T T"
Sb 2.231 0.000 2.850
Sb 0.000 2.231 2.850
Rh 0.000 0.000 1.373
Rh 0.000 0.000 10.027
Br 0.000 0.000 5.700

---

# 19
16
Lattice="-3.780 3.780 7.847 3.780 -3.780 7.847 3.780 3.780 -7.847" Properties=species:S:1:pos:R:3 comment="Sm5GaAg2 PBE optimized geometry" spacegroup=I4/mcm total_energy_ev_per_atom=-4.282 m_tot_mub_per_cell=0.00 dos_ef_per_ev_fu=9.72 delta_e_f_ev_per_atom=-0.24 pbc="T T T"
Sm 0.000 0.000 0.000
Sm 5.041 1.260 -2.431
Sm 1.260 2.520 -2.431
Sm 5.041 1.260 2.431
Sm 1.260 2.520 2.431
Sm 0.000 0.000 7.847
Sm 2.520 1.260 5.416
Sm -1.260 2.520 5.416
Sm 2.520 1.260 10.279
Sm -1.260 2.520 10.279
Ga 0.000 0.000 3.924
Ga 0.000 0.000 11.771
Ag 2.803 0.977 0.000
Ag 2.803 -0.977 7.847
Ag 0.977 4.758 0.000
Ag 0.977 2.803 7.847

---

# 20
3
Lattice="-1.652 2.419 4.900 1.652 -2.419 4.900 1.652 2.419 -4.900" Properties=species:S:1:pos:R:3 comment="LiLaCd PBE optimized geometry" spacegroup=Imm2 total_energy_ev_per_atom=-2.714 m_tot_mub_per_cell=0.00 de_polymorph_mev_per_atom=85 dos_ef_per_ev_fu=2.07 delta_e_f_ev_per_atom=-0.13 pbc="T T T"
Li 0.000 0.000 0.000
La 0.000 0.000 3.122
Cd 0.000 0.000 6.417

---

| no. | volume (A^3/atom) |
| --- | --- |
| 1 | 23.97 |
| 2 | 31.20 |
| 3 | 33.77 |
| 4 | 28.89 |
| 5 | 13.08 |
| 6 | 24.36 |
| 7 | 24.83 |
| 8 | 13.56 |
| 9 | 30.99 |
| 10 | 23.12 |
| 11 | 31.02 |
| 12 | 19.28 |
| 13 | 36.59 |
| 14 | 17.76 |
| 15 | 35.06 |
| 16 | 14.31 |
| 17 | 13.78 |
| 18 | 22.69 |
| 19 | 28.04 |
| 20 | 26.10 |